GaAgGe2O | PBE-GGA | optimized geometry

Output
The calculation puts the formation energy without anion corrections at 0.00 eV/atom. The total energy comes out at -4.014 eV per atom. As for the symmetry: P4/mmm (123).

Cell lengths 4.3902, 4.6254, 4.3902 Å; angles 90.00, 90.00, 90.00 degrees
With the nearest neighbours (Å) after each atom.
Sites, in units of the cell vectors:
Ga 0.0000 0.5000 0.0000  2 O 2.31
Ag 0.5000 0.5000 0.5000  4 Ga 3.10, 8 Ge 3.19
Ge 0.0000 0.0000 0.5000  2 O 2.20
Ge 0.5000 0.0000 0.0000  2 O 2.20
O 0.0000 0.0000 0.0000  4 Ge 2.20, 2 Ga 2.31